<w>
ZrPd2Rh2: relaxed, PBE-GGA.

a b c (Å): 3.6123 3.6123 13.2911
angles (deg): 90.00 90.00 90.00
Last column: nearest neighbours and their distance in Å.
Space group I4/mmm (No. 139)
Symmetry-distinct sites (fractional):
Zr 0.0000 0.0000 0.0000 [2 per cell]  8 Pd 2.87
Pd 0.0000 0.0000 0.4017 [4 per cell]  1 Pd 2.61, 4 Rh 2.71, 4 Zr 2.87
Rh 0.0000 0.5000 0.2500 [4 per cell]  4 Rh 2.55, 4 Pd 2.71

Fermi-level density of states: 1.29 states/eV/atom
total magnetization: 0.0 μB/cell

<x>
ZrPd2Rh2: relaxed, PBE-GGA.

a b c (Å): 6.7720 6.7720 3.6656
angles (deg): 90.00 90.00 90.00
Last column: nearest neighbours and their distance in Å.
Space group P4/mbm (No. 127)
Symmetry-distinct sites (fractional):
Zr 0.0000 0.0000 0.0000 [2 per cell]  4 Rh 2.63
Pd 0.1618 0.3382 0.5000 [4 per cell]  6 Rh 2.67-2.73
Rh 0.1354 0.6354 0.0000 [4 per cell]  1 Rh 2.59, 2 Zr 2.63, 6 Pd 2.67-2.73

Fermi-level density of states: 1.17 states/eV/atom
total magnetization: 0.0 μB/cell

Result of the stability comparison: <w> is the least stable of them.

<w>
PdRu3S: relaxed, PBE-GGA.

a b c (Å): 4.3142 4.3142 4.3142
angles (deg): 90.00 90.00 90.00
Last column: nearest neighbours and their distance in Å.
Space group Pm-3m (No. 221)
Symmetry-distinct sites (fractional):
Pd 0.0000 0.0000 0.0000 [1 per cell]  12 Ru 3.05
Ru 0.0000 0.5000 0.5000 [3 per cell]  2 S 2.16
S 0.5000 0.5000 0.5000 [1 per cell]  6 Ru 2.16

Fermi-level density of states: 1.28 states/eV/atom
total magnetization: 1.8 μB/cell

<x>
PdRu3S: relaxed, PBE-GGA.

a b c (Å): 4.7987 4.7987 4.7987
angles (deg): 90.00 90.00 90.00
Last column: nearest neighbours and their distance in Å.
Space group Pm-3m (No. 221)
Symmetry-distinct sites (fractional):
Pd 0.0000 0.0000 0.0000 [1 per cell]  6 Ru 2.40
Ru 0.0000 0.0000 0.5000 [3 per cell]  2 Pd 2.40
S 0.5000 0.5000 0.5000 [1 per cell]  12 Ru 3.39

Fermi-level density of states: 1.31 states/eV/atom
total magnetization: 7.8 μB/cell

Result of the stability comparison: <x> is the least stable of them.

<w>
Pd3RuS: relaxed, PBE-GGA.

a b c (Å): 4.7633 4.7633 4.7633
angles (deg): 90.00 90.00 90.00
Last column: nearest neighbours and their distance in Å.
Space group Pm-3m (No. 221)
Symmetry-distinct sites (fractional):
Pd 0.0000 0.0000 0.5000 [3 per cell]  2 Ru 2.38
Ru 0.0000 0.0000 0.0000 [1 per cell]  6 Pd 2.38
S 0.5000 0.5000 0.5000 [1 per cell]  12 Pd 3.37

Fermi-level density of states: 1.67 states/eV/atom
total magnetization: 0.4 μB/cell

<x>
Pd3RuS: relaxed, PBE-GGA.

a b c (Å): 4.4608 4.4608 4.4608
angles (deg): 90.00 90.00 90.00
Last column: nearest neighbours and their distance in Å.
Space group Pm-3m (No. 221)
Symmetry-distinct sites (fractional):
Pd 0.0000 0.0000 0.5000 [3 per cell]  2 S 2.23
Ru 0.5000 0.5000 0.5000 [1 per cell]  12 Pd 3.15
S 0.0000 0.0000 0.0000 [1 per cell]  6 Pd 2.23

Fermi-level density of states: 1.00 states/eV/atom
total magnetization: 3.2 μB/cell

Result of the stability comparison: <w> is the least stable of them.

<w>
Sb3PdRu: relaxed, PBE-GGA.

a b c (Å): 5.1101 5.1101 5.1101
angles (deg): 90.00 90.00 90.00
Last column: nearest neighbours and their distance in Å.
Space group Pm-3m (No. 221)
Symmetry-distinct sites (fractional):
Sb 0.0000 0.0000 0.5000 [3 per cell]  2 Pd 2.56
Pd 0.0000 0.0000 0.0000 [1 per cell]  6 Sb 2.56
Ru 0.5000 0.5000 0.5000 [1 per cell]  12 Sb 3.61

Fermi-level density of states: 0.96 states/eV/atom
total magnetization: 1.1 μB/cell

<x>
Sb3PdRu: relaxed, PBE-GGA.

a b c (Å): 5.0725 5.0725 5.0725
angles (deg): 90.00 90.00 90.00
Last column: nearest neighbours and their distance in Å.
Space group Pm-3m (No. 221)
Symmetry-distinct sites (fractional):
Sb 0.0000 0.0000 0.5000 [3 per cell]  2 Ru 2.54
Pd 0.5000 0.5000 0.5000 [1 per cell]  12 Sb 3.59
Ru 0.0000 0.0000 0.0000 [1 per cell]  6 Sb 2.54

Fermi-level density of states: 0.62 states/eV/atom
total magnetization: 0.0 μB/cell

Result of the stability comparison: <w> is the least stable of them.

<w>
SbTe2PdRu: relaxed, PBE-GGA.

a b c (Å): 5.2173 5.2173 4.9802
angles (deg): 90.00 90.00 90.00
Last column: nearest neighbours and their distance in Å.
Space group P4/mmm (No. 123)
Symmetry-distinct sites (fractional):
Sb 0.0000 0.0000 0.0000 [1 per cell]  2 Ru 2.49
Te 0.0000 0.5000 0.5000 [2 per cell]  2 Ru 2.61
Pd 0.5000 0.5000 0.0000 [1 per cell]  8 Te 3.61, 4 Sb 3.69
Ru 0.0000 0.0000 0.5000 [1 per cell]  2 Sb 2.49, 4 Te 2.61

Fermi-level density of states: 1.09 states/eV/atom
total magnetization: 0.0 μB/cell

<x>
SbTe2PdRu: relaxed, PBE-GGA.

a b c (Å): 5.2180 5.2180 5.0103
angles (deg): 90.00 90.00 90.00
Last column: nearest neighbours and their distance in Å.
Space group P4/mmm (No. 123)
Symmetry-distinct sites (fractional):
Sb 0.0000 0.0000 0.0000 [1 per cell]  2 Pd 2.51
Te 0.0000 0.5000 0.5000 [2 per cell]  2 Pd 2.61
Pd 0.0000 0.0000 0.5000 [1 per cell]  2 Sb 2.51, 4 Te 2.61
Ru 0.5000 0.5000 0.0000 [1 per cell]  8 Te 3.62, 4 Sb 3.69

Fermi-level density of states: 1.46 states/eV/atom
total magnetization: 0.0 μB/cell

Result of the stability comparison: <x> is the least stable of them.

<w>
ScPd2Ru: relaxed, PBE-GGA.

a b c (Å): 3.8359 3.8359 18.6628
angles (deg): 90.00 90.00 90.00
Last column: nearest neighbours and their distance in Å.
Space group I-42d (No. 122)
Symmetry-distinct sites (fractional):
Sc 0.0000 0.0000 0.0000 [4 per cell]  4 Pd 2.71, 4 Ru 2.71
Pd 0.2436 0.2500 0.6250 [8 per cell]  4 Pd 2.68-2.75, 2 Ru 2.69, 2 Sc 2.71
Ru 0.0000 0.0000 0.5000 [4 per cell]  4 Pd 2.69, 4 Sc 2.71

Fermi-level density of states: 0.67 states/eV/atom
total magnetization: 0.0 μB/cell

<x>
ScPd2Ru: relaxed, PBE-GGA.

a b c (Å): 6.3958 6.3958 6.3958
angles (deg): 90.00 90.00 90.00
Last column: nearest neighbours and their distance in Å.
Space group Fm-3m (No. 225)
Symmetry-distinct sites (fractional):
Sc 0.0000 0.0000 0.0000 [4 per cell]  8 Pd 2.77
Pd 0.2500 0.2500 0.2500 [8 per cell]  4 Ru 2.77, 4 Sc 2.77
Ru 0.0000 0.0000 0.5000 [4 per cell]  8 Pd 2.77

Fermi-level density of states: 1.94 states/eV/atom
total magnetization: 4.8 μB/cell

<y>
ScPd2Ru: relaxed, PBE-GGA.

a b c (Å): 3.9647 3.9647 4.0119
angles (deg): 90.00 90.00 90.00
Last column: nearest neighbours and their distance in Å.
Space group P4/mmm (No. 123)
Symmetry-distinct sites (fractional):
Sc 0.0000 0.0000 0.0000 [1 per cell]  4 Ru 2.80, 8 Pd 2.82
Pd 0.0000 0.5000 0.5000 [2 per cell]  4 Pd 2.80, 4 Ru 2.82, 4 Sc 2.82
Ru 0.5000 0.5000 0.0000 [1 per cell]  4 Sc 2.80, 8 Pd 2.82

Fermi-level density of states: 1.00 states/eV/atom
total magnetization: 0.0 μB/cell

Result of the stability comparison: <w> is the least stable of them.

<w>
Sc3PdRu: relaxed, PBE-GGA.

a b c (Å): 4.9053 4.9053 4.9053
angles (deg): 90.00 90.00 90.00
Last column: nearest neighbours and their distance in Å.
Space group Pm-3m (No. 221)
Symmetry-distinct sites (fractional):
Sc 0.0000 0.0000 0.5000 [3 per cell]  2 Ru 2.45
Pd 0.5000 0.5000 0.5000 [1 per cell]  12 Sc 3.47
Ru 0.0000 0.0000 0.0000 [1 per cell]  6 Sc 2.45

Fermi-level density of states: 0.74 states/eV/atom
total magnetization: 0.0 μB/cell

<x>
Sc3PdRu: relaxed, PBE-GGA.

a b c (Å): 4.9040 4.9040 4.9040
angles (deg): 90.00 90.00 90.00
Last column: nearest neighbours and their distance in Å.
Space group Pm-3m (No. 221)
Symmetry-distinct sites (fractional):
Sc 0.0000 0.0000 0.5000 [3 per cell]  2 Pd 2.45
Pd 0.0000 0.0000 0.0000 [1 per cell]  6 Sc 2.45
Ru 0.5000 0.5000 0.5000 [1 per cell]  12 Sc 3.47

Fermi-level density of states: 1.00 states/eV/atom
total magnetization: 0.0 μB/cell

Result of the stability comparison: <x> is the least stable of them.

<w>
TmScPdRu: relaxed, PBE-GGA.

a b c (Å): 3.3453 3.3453 6.5986
angles (deg): 90.00 90.00 90.00
Last column: nearest neighbours and their distance in Å.
Space group P4mm (No. 99)
Symmetry-distinct sites (fractional):
Tm 0.0000 0.0000 0.0000 [1 per cell]  4 Ru 2.90, 4 Pd 2.96, 1 Sc 3.17
Sc 0.0000 0.0000 0.5200 [1 per cell]  4 Ru 2.80, 4 Pd 2.89
Pd 0.5000 0.5000 0.2690 [1 per cell]  4 Sc 2.89, 4 Tm 2.96, 1 Ru 3.15
Ru 0.5000 0.5000 0.7458 [1 per cell]  4 Sc 2.80, 4 Tm 2.90

Fermi-level density of states: 0.30 states/eV/atom
total magnetization: 0.0 μB/cell

<x>
TmScPdRu: relaxed, PBE-GGA.

a b c (Å): 6.6558 6.6558 6.6558
angles (deg): 90.00 90.00 90.00
Last column: nearest neighbours and their distance in Å.
Space group F-43m (No. 216)
Symmetry-distinct sites (fractional):
Tm 0.0000 0.0000 0.0000 [4 per cell]  4 Pd 2.88, 4 Ru 2.88
Sc 0.0000 0.0000 0.5000 [4 per cell]  4 Ru 2.88, 4 Pd 2.88
Pd 0.2500 0.2500 0.2500 [4 per cell]  4 Sc 2.88, 4 Tm 2.88
Ru 0.2500 0.2500 0.7500 [4 per cell]  4 Tm 2.88, 4 Sc 2.88

Fermi-level density of states: 0.39 states/eV/atom
total magnetization: 0.0 μB/cell

Result of the stability comparison: <x> is the least stable of them.

<w>
PdRuSe4: relaxed, PBE-GGA.

a b c (Å): 6.1180 6.1649 6.1333
angles (deg): 90.00 90.18 90.00
Last column: nearest neighbours and their distance in Å.
Space group P2_1/c (No. 14)
Symmetry-distinct sites (fractional):
Pd 0.0000 0.0000 0.0000 [2 per cell]  6 Se 2.59-2.64
Ru 0.5000 0.0000 0.5000 [2 per cell]  6 Se 2.48-2.52
Se 0.1259 0.1130 0.3916 [4 per cell]  1 Se 2.47, 1 Ru 2.48, 2 Pd 2.59-2.61
Se 0.3919 0.6254 0.3739 [4 per cell]  2 Ru 2.51-2.52, 1 Se 2.55, 1 Pd 2.64

Fermi-level density of states: 0.58 states/eV/atom
total magnetization: 0.0 μB/cell

<x>
PdRuSe4: relaxed, PBE-GGA.

a b c (Å): 12.1273 3.6831 6.4700
angles (deg): 90.00 121.76 90.00
Last column: nearest neighbours and their distance in Å.
Space group C2/m (No. 12)
Symmetry-distinct sites (fractional):
Pd 0.0000 0.0000 0.0000 [2 per cell]  6 Se 2.55-2.56
Ru 0.0000 0.5000 0.5000 [2 per cell]  6 Se 2.49-2.50
Se 0.1282 0.0000 0.4661 [4 per cell]  2 Ru 2.49, 1 Pd 2.56
Se 0.1309 0.5000 0.9545 [4 per cell]  1 Ru 2.50, 2 Pd 2.55

Fermi-level density of states: 0.82 states/eV/atom
total magnetization: 0.0 μB/cell

Result of the stability comparison: <x> is the least stable of them.

<w>
PdRuSe2: relaxed, PBE-GGA.

a b c (Å): 5.6384 5.6384 11.1927
angles (deg): 90.00 90.00 90.00
Last column: nearest neighbours and their distance in Å.
Space group I-42d (No. 122)
Symmetry-distinct sites (fractional):
Pd 0.0000 0.0000 0.0000 [4 per cell]  4 Se 2.50
Ru 0.0000 0.0000 0.5000 [4 per cell]  4 Se 2.37
Se 0.2308 0.2500 0.6250 [8 per cell]  2 Ru 2.37, 2 Pd 2.50

Fermi-level density of states: 0.59 states/eV/atom
total magnetization: 0.0 μB/cell

<x>
PdRuSe2: relaxed, PBE-GGA.

a b c (Å): 3.4781 3.4781 23.3514
angles (deg): 90.00 90.00 120.00
Last column: nearest neighbours and their distance in Å.
Space group R-3m (No. 166, hexagonal axes)
Symmetry-distinct sites (fractional):
Pd 0.0000 0.0000 0.0000 [3 per cell]  2 Se 2.41
Ru 0.0000 0.0000 0.5000 [3 per cell]  6 Se 2.49
Se 0.0000 0.0000 0.1033 [6 per cell]  1 Pd 2.41, 3 Ru 2.49

Fermi-level density of states: 1.09 states/eV/atom
total magnetization: 0.0 μB/cell

Result of the stability comparison: <x> is the least stable of them.

<w>
PdRuSe2: relaxed, PBE-GGA.

a b c (Å): 6.3647 6.3647 6.3647
angles (deg): 90.00 90.00 90.00
Last column: nearest neighbours and their distance in Å.
Space group Fm-3m (No. 225)
Symmetry-distinct sites (fractional):
Pd 0.0000 0.0000 0.0000 [4 per cell]  8 Se 2.76
Ru 0.0000 0.0000 0.5000 [4 per cell]  8 Se 2.76
Se 0.2500 0.2500 0.2500 [8 per cell]  4 Ru 2.76, 4 Pd 2.76

Fermi-level density of states: 0.60 states/eV/atom
total magnetization: 0.0 μB/cell

<x>
PdRuSe2: relaxed, PBE-GGA.

a b c (Å): 3.1390 3.1390 25.5213
angles (deg): 90.00 90.00 120.00
Last column: nearest neighbours and their distance in Å.
Space group R-3m (No. 166, hexagonal axes)
Symmetry-distinct sites (fractional):
Pd 0.0000 0.0000 0.0000 [3 per cell]  6 Se 2.63
Ru 0.0000 0.0000 0.5000 [3 per cell]  2 Se 2.35
Se 0.0000 0.0000 0.4080 [6 per cell]  1 Ru 2.35

Fermi-level density of states: 0.95 states/eV/atom
total magnetization: 0.0 μB/cell

Result of the stability comparison: <x> is the least stable of them.

<w>
SiPdRu: relaxed, PBE-GGA.

a b c (Å): 2.9594 13.2156 4.2264
angles (deg): 90.00 90.00 90.00
Last column: nearest neighbours and their distance in Å.
Space group Cmcm (No. 63)
Symmetry-distinct sites (fractional):
Si 0.0000 0.0702 0.2500 [4 per cell]  6 Ru 2.44-2.58, 2 Pd 2.45
Pd 0.0000 0.2819 0.7500 [4 per cell]  2 Si 2.45, 4 Pd 2.71
Ru 0.0000 0.4236 0.2500 [4 per cell]  6 Si 2.44-2.58

Fermi-level density of states: 0.56 states/eV/atom
total magnetization: 0.0 μB/cell

<x>
SiPdRu: relaxed, PBE-GGA.

a b c (Å): 2.8873 2.8873 20.6583
angles (deg): 90.00 90.00 90.00
Last column: nearest neighbours and their distance in Å.
Space group I4/mmm (No. 139)
Symmetry-distinct sites (fractional):
Si 0.0000 0.0000 0.1359 [4 per cell]  4 Ru 2.47, 4 Pd 2.52
Pd 0.0000 0.0000 0.4356 [4 per cell]  4 Si 2.52, 1 Pd 2.66
Ru 0.0000 0.0000 0.2965 [4 per cell]  4 Si 2.47

Fermi-level density of states: 0.52 states/eV/atom
total magnetization: 0.0 μB/cell

Result of the stability comparison: <x> is the least stable of them.

<w>
Si2PdRu2: relaxed, PBE-GGA.

a b c (Å): 6.8963 6.8963 2.8612
angles (deg): 90.00 90.00 90.00
Last column: nearest neighbours and their distance in Å.
Space group P4/mbm (No. 127)
Symmetry-distinct sites (fractional):
Si 0.1462 0.3538 0.0000 [4 per cell]  6 Ru 2.45-2.49, 2 Pd 2.64
Pd 0.0000 0.0000 0.0000 [2 per cell]  4 Si 2.64, 2 Pd 2.86
Ru 0.1501 0.6501 0.5000 [4 per cell]  6 Si 2.45-2.49

Fermi-level density of states: 0.61 states/eV/atom
total magnetization: 0.0 μB/cell

<x>
Si2PdRu2: relaxed, PBE-GGA.

a b c (Å): 3.5483 3.5483 11.6708
angles (deg): 90.00 90.00 90.00
Last column: nearest neighbours and their distance in Å.
Space group I4/mmm (No. 139)
Symmetry-distinct sites (fractional):
Si 0.0000 0.5000 0.2500 [4 per cell]  4 Ru 2.41, 4 Si 2.51
Pd 0.0000 0.0000 0.0000 [2 per cell]  8 Ru 2.82
Ru 0.0000 0.0000 0.3897 [4 per cell]  4 Si 2.41, 1 Ru 2.57

Fermi-level density of states: 0.36 states/eV/atom
total magnetization: 0.0 μB/cell

Result of the stability comparison: <x> is the least stable of them.